The following is a meta-GGA SCAN calculation of BaIn3Co at its PBEsol-relaxed geometry, from the Alexandria database.

## Properties
Space-group type: Pm-3m (221)
Formation energy: -257 meV per atom

Unit cell a=4.9797 b=4.9797 c=4.9797 alpha=90.00 beta=90.00 gamma=90.00
Last column: nearest neighbours and their distance in Å.
Sites, in units of the cell vectors:
In 0.0000 0.0000 0.5000  2 Co 2.49
In 0.0000 0.5000 0.0000  2 Co 2.49
In 0.5000 0.0000 0.0000  2 Co 2.49
Co 0.0000 0.0000 0.0000  6 In 2.49
Ba 0.5000 0.5000 0.5000  12 In 3.52


The following is a meta-GGA SCAN calculation of BaCaIr2 at its PBEsol-relaxed geometry, from the Alexandria database.

## Properties
Space-group type: Amm2 (38)
Polymorph energy (0 for the lowest one): 12 kJ/mol of formula units
Formation energy: -351 meV per atom

Unit cell a=4.5055 b=4.6607 c=5.7197 alpha=114.04 beta=90.00 gamma=90.00
Last column: nearest neighbours and their distance in Å.
Sites, in units of the cell vectors:
Ca 0.5000 0.7601 0.5201  2 Ir 2.91
Ir 0.0000 0.1703 0.3406  2 Ir 2.39
Ir 0.5000 0.0939 0.1878  2 Ir 2.39
Ba 0.0000 0.4719 0.9438  7 Ir 3.12-3.48


The following is a meta-GGA SCAN calculation of Mn3SiRh at its PBEsol-relaxed geometry, from the Alexandria database.

## Properties
Space-group type: Pm-3m (221)
Formation energy (no corrections): 0.55 eV/atom

Unit cell a=4.2196 b=4.2196 c=4.2196 alpha=90.00 beta=90.00 gamma=90.00
Last column: nearest neighbours and their distance in Å.
Sites, in units of the cell vectors:
Mn 0.5000 0.0000 0.0000  2 Si 2.11
Mn 0.0000 0.5000 0.0000  2 Si 2.11
Mn 0.0000 0.0000 0.5000  2 Si 2.11
Si 0.0000 0.0000 0.0000  6 Mn 2.11
Rh 0.5000 0.5000 0.5000  12 Mn 2.98


The following is a meta-GGA SCAN calculation of SrRh2Pb at its PBEsol-relaxed geometry, from the Alexandria database.

## Properties
Space-group type: Imm2 (44)
Formation energy: -29 meV per atom

Unit cell a=3.1517 b=4.7593 c=6.0289 alpha=113.25 beta=105.15 gamma=90.00
Last column: nearest neighbours and their distance in Å.
Sites, in units of the cell vectors:
Pb 0.2819 0.7819 0.5639  6 Rh 2.83-2.94, 2 Pb 3.15
Sr 0.4979 0.4979 0.9958  4 Rh 2.85, 2 Sr 3.15
Rh 0.0030 0.0030 0.0060  2 Rh 2.77, 2 Pb 2.83, 4 Sr 2.85
Rh 0.7171 0.2171 0.4343  2 Rh 2.77, 4 Pb 2.94


The following is a meta-GGA SCAN calculation of AuCSe3 at its PBEsol-relaxed geometry, from the Alexandria database.

## Properties
Space-group type: Pm-3m (221)
Formation energy (no corrections): 1.29 eV/atom

Unit cell a=4.3630 b=4.3630 c=4.3630 alpha=90.00 beta=90.00 gamma=90.00
Last column: nearest neighbours and their distance in Å.
Sites, in units of the cell vectors:
Se 0.0000 0.5000 0.0000  2 C 2.18
Se 0.0000 0.0000 0.5000  2 C 2.18
Se 0.5000 0.0000 0.0000  2 C 2.18
C 0.0000 0.0000 0.0000  6 Se 2.18
Au 0.5000 0.5000 0.5000  12 Se 3.09


The following is a meta-GGA SCAN calculation of FeOsRu at its PBEsol-relaxed geometry, from the Alexandria database.

## Properties
Space-group type: I4mm (107)
Formation energy: 303 meV per atom

Unit cell a=2.6329 b=2.6329 c=5.7238 alpha=103.30 beta=103.30 gamma=90.00
Last column: nearest neighbours and their distance in Å.
Sites, in units of the cell vectors:
Os 0.6602 0.6602 0.3205  4 Fe 2.54, 4 Os 2.63, 4 Ru 2.68
Fe 0.0009 0.0009 0.0017  4 Os 2.54, 4 Ru 2.56, 4 Fe 2.63
Ru 0.3389 0.3389 0.6778  4 Fe 2.56, 4 Ru 2.63, 4 Os 2.68


The following is a meta-GGA SCAN calculation of ScAl2Au2 at its PBEsol-relaxed geometry, from the Alexandria database.

## Properties
Space-group type: I4/mmm (139)
Formation energy: -841 meV per atom

Unit cell a=3.8636 b=3.8636 c=6.6411 alpha=106.91 beta=106.91 gamma=90.00
Last column: nearest neighbours and their distance in Å.
Sites, in units of the cell vectors:
Au 0.3901 0.3901 0.7803  4 Al 2.57, 1 Au 2.66
Au 0.6099 0.6099 0.2197  4 Al 2.57, 1 Au 2.66
Al 0.2500 0.7500 0.5000  4 Au 2.57, 4 Al 2.73
Al 0.7500 0.2500 0.5000  4 Au 2.57, 4 Al 2.73
Sc 0.0000 0.0000 0.0000  8 Au 3.04


The following is a meta-GGA SCAN calculation of Sm2C3 at its PBEsol-relaxed geometry, from the Alexandria database.

## Properties
Space-group type: I-43d (220)
Formation energy: -330 meV per atom

Unit cell a=7.2401 b=7.2401 c=7.2401 alpha=109.47 beta=109.47 gamma=109.47
Last column: nearest neighbours and their distance in Å.
Sites, in units of the cell vectors:
C 0.2500 0.9548 0.7048  1 C 1.33
C 0.7952 0.0452 0.7500  1 C 1.33
C 0.4548 0.7500 0.2048  1 C 1.33
C 0.5452 0.2952 0.2500  1 C 1.33
C 0.2952 0.7500 0.0452  1 C 1.33
C 0.2048 0.2500 0.4548  1 C 1.33
C 0.0452 0.2500 0.2952  1 C 1.33
C 0.2500 0.7952 0.5452  1 C 1.33
C 0.9548 0.2048 0.7500  1 C 1.33
C 0.7048 0.4548 0.2500  1 C 1.33
C 0.7500 0.5452 0.7952  1 C 1.33
C 0.7500 0.7048 0.9548  1 C 1.33
Sm 0.0000 0.5000 0.1022  9 C 2.55-2.86
Sm 0.6022 0.0000 0.0000  9 C 2.55-2.86
Sm 0.3978 0.3978 0.8978  9 C 2.55-2.86
Sm 0.5000 0.6022 0.5000  9 C 2.55-2.86
Sm 0.0000 0.5000 0.6022  9 C 2.55-2.86
Sm 0.8978 0.8978 0.3978  9 C 2.55-2.86
Sm 0.5000 0.1022 0.5000  9 C 2.55-2.86
Sm 0.1022 0.0000 0.0000  9 C 2.55-2.86


The following is a meta-GGA SCAN calculation of InTcIr2 at its PBEsol-relaxed geometry, from the Alexandria database.

## Properties
Space-group type: Pmmm (47)
Formation energy: -24 meV per atom

Unit cell a=2.8142 b=3.8037 c=5.6930 alpha=90.00 beta=90.00 gamma=90.00
Last column: nearest neighbours and their distance in Å.
Sites, in units of the cell vectors:
In 0.5000 0.5000 0.5000  2 In 2.81, 8 Ir 2.82, 2 Tc 2.85
Ir 0.0000 0.0000 0.7685  3 Ir 2.64-2.81, 4 Tc 2.71, 4 In 2.82
Ir 0.0000 0.0000 0.2315  3 Ir 2.64-2.81, 4 Tc 2.71, 4 In 2.82
Tc 0.5000 0.5000 0.0000  8 Ir 2.71, 2 Tc 2.81, 2 In 2.85


The following is a meta-GGA SCAN calculation of PC at its PBEsol-relaxed geometry, from the Alexandria database.

## Properties
Space-group type: P6_3/mmc (194)
Polymorph energy (0 for the lowest one): 89 kJ/mol of formula units
Formation energy: 1744 meV per atom

Unit cell a=4.5324 b=4.5324 c=4.9786 alpha=90.00 beta=90.00 gamma=120.00
Last column: nearest neighbours and their distance in Å.
Sites, in units of the cell vectors:
C 0.6667 0.3333 0.6201  1 C 1.29
C 0.3333 0.6667 0.3799  1 C 1.29
C 0.3333 0.6667 0.1201  1 C 1.29
C 0.6667 0.3333 0.8799  1 C 1.29
P 0.3333 0.6667 0.7500  2 C 1.84
P 0.0000 0.0000 0.2500  5 P 2.49-2.62, 6 C 2.70
P 0.6667 0.3333 0.2500  2 C 1.84
P 0.0000 0.0000 0.7500  5 P 2.49-2.62, 6 C 2.70


The following is a meta-GGA SCAN calculation of BeCoRu2 at its PBEsol-relaxed geometry, from the Alexandria database.

## Properties
Space-group type: Imm2 (44)
Formation energy: -81 meV per atom

Unit cell a=2.7487 b=4.0132 c=4.6743 alpha=115.42 beta=107.10 gamma=90.00
Last column: nearest neighbours and their distance in Å.
Sites, in units of the cell vectors:
Co 0.2224 0.7224 0.4448  2 Be 2.18
Ru 0.9961 0.9961 0.9922  4 Be 2.43, 4 Co 2.58-2.70, 4 Ru 2.59-2.69
Ru 0.7709 0.2709 0.5418  2 Be 2.36, 4 Co 2.46, 2 Ru 2.59
Be 0.5106 0.5106 0.0212  2 Co 2.18, 6 Ru 2.36-2.43


The following is a meta-GGA SCAN calculation of V6GaSi at its PBEsol-relaxed geometry, from the Alexandria database.

## Properties
Space-group type: Pm-3 (200)
Formation energy (no corrections): -0.37 eV/atom

Unit cell a=4.6810 b=4.6810 c=4.6810 alpha=90.00 beta=90.00 gamma=90.00
Last column: nearest neighbours and their distance in Å.
Sites, in units of the cell vectors:
V 0.0000 0.5000 0.7579  2 V 2.27-2.41
V 0.5000 0.7579 0.0000  2 V 2.27-2.41
V 0.0000 0.5000 0.2421  2 V 2.27-2.41
V 0.7579 0.0000 0.5000  2 V 2.27-2.41
V 0.5000 0.2421 0.0000  2 V 2.27-2.41
V 0.2421 0.0000 0.5000  2 V 2.27-2.41
Ga 0.5000 0.5000 0.5000  12 V 2.63
Si 0.0000 0.0000 0.0000  12 V 2.60


The following Fermi-level density of states values (in states/eV per atom) correspond, in order, to the records above: 0.54, 0.43, 0.83, 0.94, 0.70, 1.07, 0.47, 0.26, 0.70, 0.48, 0.78, 1.24.